Pr3Pa2Co4 PBE optimized geometry; total energy = -7.09 eV per atom; size of the total moment = 0.000 μB per atom; V = 21.8 A^3/atom; D(E_F) = 1.097 states/eV per atom
1.0
-1.510 -2.033 2.733
1.976 -3.866 -4.323
7.631 1.188 5.102
Pr Pa Co
3 2 4
Direct
0.375 0.750 0.615 Pr
0.000 0.000 0.000 Pr
0.625 0.250 0.385 Pr
0.320 0.640 0.219 Pa
0.680 0.360 0.781 Pa
0.708 0.416 0.071 Co
0.078 0.157 0.625 Co
0.922 0.843 0.375 Co
0.292 0.584 0.929 Co

***

CsHg2As2 PBE optimized geometry; total energy = -2.19 eV per atom; size of the total moment = 0.000 μB per atom; V = 28.6 A^3/atom; relative energy among the computed polymorphs = 98 meV/atom; D(E_F) = 0.380 states/eV per atom
1.0
4.912 0.000 0.000
0.000 4.912 0.000
2.456 2.456 5.938
Cs As Hg
1 2 2
Direct
0.000 0.000 0.000 Cs
0.750 0.250 0.500 As
0.250 0.750 0.500 As
0.378 0.378 0.245 Hg
0.622 0.622 0.755 Hg

***

CaBeRe3 PBE optimized geometry; total energy = -7.68 eV per atom; size of the total moment = 0.000 μB per atom; V = 16.1 A^3/atom; relative energy among the computed polymorphs = 0 meV/atom; D(E_F) = 1.002 states/eV per atom
1.0
-1.230 -2.682 3.152
3.280 -2.637 -0.964
2.524 2.120 2.789
Re Ca Be
3 1 1
Direct
0.000 0.500 0.000 Re
0.000 0.000 0.500 Re
0.500 0.000 0.000 Re
0.500 0.500 0.500 Ca
0.000 0.000 0.000 Be

***

TlC PBE optimized geometry; total energy = -3.71 eV per atom; size of the total moment = 0.000 μB per atom; V = 17.1 A^3/atom; relative energy among the computed polymorphs = 1300 meV/atom; D(E_F) = 0.435 states/eV per atom
1.0
2.829 0.000 0.000
0.000 2.829 0.000
0.000 0.000 8.551
Tl C
2 2
Direct
0.250 0.250 0.201 Tl
0.750 0.750 0.799 Tl
0.250 0.250 0.492 C
0.750 0.750 0.508 C

***

ZnTcW PBE optimized geometry; total energy = -8.10 eV per atom; size of the total moment = 0.000 μB per atom; V = 15.0 A^3/atom; relative energy among the computed polymorphs = 21 meV/atom; D(E_F) = 0.888 states/eV per atom
1.0
4.923 -0.007 0.000
2.842 4.020 0.000
-3.883 -2.006 2.266
Tc W Zn
1 1 1
Direct
0.994 0.994 0.000 Tc
0.341 0.341 0.000 W
0.665 0.665 0.000 Zn

***

V2FePt3 PBE optimized geometry; total energy = -7.46 eV per atom; size of the total moment = 0.045 μB per atom; V = 16.7 A^3/atom; relative energy among the computed polymorphs = 433 meV/atom; D(E_F) = 1.178 states/eV per atom
1.0
-4.195 1.393 -6.018
2.277 -4.124 -2.542
-2.603 -1.695 6.054
V Fe Pt
4 2 6
Direct
0.611 0.373 0.746 V
0.865 0.127 0.254 V
0.135 0.873 0.746 V
0.389 0.627 0.254 V
0.000 0.500 0.000 Fe
0.000 0.000 0.000 Fe
0.500 0.250 0.000 Pt
0.500 0.750 0.000 Pt
0.770 0.020 0.539 Pt
0.230 0.480 0.461 Pt
0.230 0.980 0.461 Pt
0.770 0.520 0.539 Pt

***

Ti3S4 PBE optimized geometry; total energy = -7.07 eV per atom; size of the total moment = 0.000 μB per atom; V = 17.9 A^3/atom; relative energy among the computed polymorphs = 94 meV/atom; formation energy from raw total energies = -9.3 eV per formula unit; D(E_F) = 0.577 states/eV per atom
1.0
-2.103 2.206 1.597
0.875 -2.957 1.529
9.634 5.490 5.105
Ti S
3 4
Direct
0.333 0.667 0.375 Ti
0.333 0.667 0.112 Ti
0.667 0.333 0.887 Ti
0.667 0.333 0.246 S
0.333 0.667 0.772 S
0.000 0.000 0.488 S
0.000 0.000 0.005 S

***

Ta3MnCr PBE optimized geometry; total energy = -9.49 eV per atom; size of the total moment = 0.000 μB per atom; V = 18.7 A^3/atom; relative energy among the computed polymorphs = 205 meV/atom; D(E_F) = 1.943 states/eV per atom
1.0
-3.905 2.302 -0.258
-2.233 -3.605 1.622
0.617 1.522 4.233
Cr Mn Ta
1 1 3
Direct
0.000 0.000 0.000 Cr
0.500 0.500 0.500 Mn
0.000 0.500 0.000 Ta
0.000 0.000 0.500 Ta
0.500 0.000 0.000 Ta

***

Tb3Zn7Au4 PBE optimized geometry; total energy = -3.08 eV per atom; size of the total moment = 0.000 μB per atom; V = 19.1 A^3/atom; D(E_F) = 0.478 states/eV per atom
1.0
-2.441 -3.631 -0.715
4.751 -5.007 -4.533
3.675 -6.060 4.488
Tb Zn Au
3 7 4
Direct
0.295 0.203 0.208 Tb
0.705 0.797 0.792 Tb
0.000 0.500 0.500 Tb
0.333 0.817 0.517 Zn
0.499 0.178 0.823 Zn
0.862 0.349 0.927 Zn
0.667 0.183 0.483 Zn
0.138 0.651 0.073 Zn
0.000 0.000 0.000 Zn
0.501 0.822 0.177 Zn
0.656 0.477 0.211 Au
0.344 0.523 0.789 Au
0.874 0.909 0.344 Au
0.126 0.091 0.656 Au

***

EuTmAlPb PBE optimized geometry; total energy = -5.86 eV per atom; size of the total moment = 1.780 μB per atom; V = 27.1 A^3/atom; D(E_F) = 0.525 states/eV per atom
1.0
5.354 0.000 0.000
2.677 4.637 0.000
2.677 1.546 4.371
Pb Eu Tm Al
1 1 1 1
Direct
0.250 0.250 0.250 Pb
0.500 0.500 0.500 Eu
0.000 0.000 0.000 Tm
0.750 0.750 0.750 Al

***

Th3CoB7 PBE optimized geometry; total energy = -7.31 eV per atom; size of the total moment = 0.000 μB per atom; V = 12.9 A^3/atom; D(E_F) = 0.279 states/eV per atom
1.0
-1.290 3.217 -0.236
-5.971 -4.515 -3.325
-4.325 -1.060 9.206
Th Co B
6 2 14
Direct
0.098 0.195 0.452 Th
0.902 0.805 0.548 Th
0.260 0.520 0.750 Th
0.740 0.480 0.250 Th
0.098 0.195 0.048 Th
0.902 0.805 0.952 Th
0.930 0.861 0.250 Co
0.070 0.139 0.750 Co
0.458 0.916 0.750 B
0.542 0.084 0.250 B
0.464 0.927 0.361 B
0.536 0.073 0.639 B
0.536 0.073 0.861 B
0.464 0.927 0.139 B
0.356 0.713 0.342 B
0.644 0.287 0.658 B
0.271 0.541 0.467 B
0.729 0.459 0.533 B
0.729 0.459 0.967 B
0.271 0.541 0.033 B
0.356 0.713 0.158 B
0.644 0.287 0.842 B

***

SnBiAs2 PBE optimized geometry; total energy = -4.07 eV per atom; size of the total moment = 0.000 μB per atom; V = 24.1 A^3/atom; relative energy among the computed polymorphs = 241 meV/atom; D(E_F) = 0.820 states/eV per atom
1.0
-3.816 -2.684 2.182
-0.915 0.464 5.047
-4.241 2.420 1.636
As Bi Sn
2 1 1
Direct
0.250 0.250 0.250 As
0.750 0.750 0.750 As
0.500 0.500 0.500 Bi
0.000 0.000 0.000 Sn